[1]
Computed, not measured: a geometry-optimized HoSi2TcIr structure at the PBE level of DFT.

a b c (Å): 5.6496 5.6496 5.6496
angles (deg): 136.42 136.42 63.34
Element x y z (fractional)
Tc (0.7500, 0.2500, 0.5000)
Ho (0.0000, 0.0000, 0.0000)
Si (0.3720, 0.3720, 0.0000)
Ir (0.2500, 0.7500, 0.5000)
Si (0.6280, 0.6280, 0.0000)

Properties
The symmetry is I-4m2.

[2]
Computed, not measured: a geometry-optimized YHoSi2Ir4 structure at the PBE level of DFT.

a b c (Å): 7.0262 5.4026 5.4026
angles (deg): 41.35 90.00 90.00
Element x y z (fractional)
Ho (0.0000, 0.5574, 0.5574)
Ir (0.2985, 0.1456, 0.1456)
Si (0.0000, 0.2770, 0.2770)
Y (0.5000, 0.4425, 0.4425)
Ir (0.7015, 0.1456, 0.1456)
Ir (0.2002, 0.8545, 0.8545)
Ir (0.7998, 0.8545, 0.8545)
Si (0.5000, 0.7229, 0.7229)

Properties
The symmetry is Amm2.

[3]
Computed, not measured: a geometry-optimized SmHoIr structure at the PBE level of DFT.

a b c (Å): 7.2702 4.6489 8.7414
angles (deg): 90.00 90.00 90.00
Element x y z (fractional)
Ho (0.3593, 0.7500, 0.0791)
Sm (0.9892, 0.7500, 0.8330)
Sm (0.5108, 0.2500, 0.3330)
Ho (0.6407, 0.2500, 0.9209)
Ir (0.7498, 0.2500, 0.5916)
Ho (0.8593, 0.7500, 0.4209)
Ho (0.1407, 0.2500, 0.5791)
Sm (0.4892, 0.7500, 0.6670)
Ir (0.7502, 0.7500, 0.0916)
Ir (0.2502, 0.7500, 0.4084)
Ir (0.2498, 0.2500, 0.9084)
Sm (0.0108, 0.2500, 0.1670)

Properties
The symmetry is Pnma. For the energy above the most stable polymorph in this dataset, the calculation gives 0 meV/atom. The calculation puts the formation energy at -0.703 eV per atom.

[4]
Computed, not measured: a geometry-optimized SmHoIr structure at the PBE level of DFT.

a b c (Å): 4.7222 4.7222 4.7222
angles (deg): 60.00 60.00 60.00
Element x y z (fractional)
Ho (0.0000, 0.0000, 0.0000)
Ir (0.7500, 0.7500, 0.7500)
Sm (0.2500, 0.2500, 0.2500)

Properties
The symmetry is F-43m. For the energy above the most stable polymorph in this dataset, the calculation gives 848 meV/atom. The calculation puts the formation energy at 0.145 eV per atom.

[5]
Computed, not measured: a geometry-optimized SmHoIr structure at the PBE level of DFT.

a b c (Å): 7.1971 4.6832 8.8565
angles (deg): 90.00 90.00 90.00
Element x y z (fractional)
Ir (0.7652, 0.7500, 0.9088)
Ho (0.9925, 0.7500, 0.1601)
Ir (0.2652, 0.7500, 0.5912)
Sm (0.8574, 0.7500, 0.5849)
Sm (0.1426, 0.2500, 0.4151)
Sm (0.6426, 0.2500, 0.0849)
Ho (0.4925, 0.7500, 0.3399)
Ho (0.5075, 0.2500, 0.6601)
Ir (0.7348, 0.2500, 0.4088)
Ho (0.0075, 0.2500, 0.8399)
Sm (0.3574, 0.7500, 0.9151)
Ir (0.2348, 0.2500, 0.0912)

Properties
The symmetry is Pnma. For the energy above the most stable polymorph in this dataset, the calculation gives 38 meV/atom. The calculation puts the formation energy at -0.665 eV per atom.

[6]
Computed, not measured: a geometry-optimized HoSnIr structure at the PBE level of DFT.

a b c (Å): 7.4879 7.4879 3.9114
angles (deg): 90.00 90.00 120.00
Element x y z (fractional)
Sn (0.2608, 0.0000, 0.5000)
Sn (0.7392, 0.7392, 0.5000)
Ir (0.3333, 0.6667, 0.5000)
Ho (0.4071, 0.4071, 0.0000)
Ho (0.0000, 0.5929, 0.0000)
Ho (0.5929, 0.0000, 0.0000)
Ir (0.0000, 0.0000, 0.0000)
Sn (0.0000, 0.2608, 0.5000)
Ir (0.6667, 0.3333, 0.5000)

Properties
The symmetry is P-62m.

[7]
Computed, not measured: a geometry-optimized HoSnIr structure at the PBE level of DFT.

a b c (Å): 7.1136 7.1136 4.3189
angles (deg): 90.00 90.00 120.00
Element x y z (fractional)
Ir (0.0000, 0.2385, 0.0000)
Ho (0.5673, 0.0000, 0.5000)
Ir (0.2385, 0.0000, 0.0000)
Ho (0.4327, 0.4327, 0.5000)
Ir (0.7615, 0.7615, 0.0000)
Sn (0.6667, 0.3333, 0.0000)
Sn (0.3333, 0.6667, 0.0000)
Sn (0.0000, 0.0000, 0.5000)
Ho (0.0000, 0.5673, 0.5000)

Properties
The symmetry is P-62m.

[8]
Computed, not measured: a geometry-optimized HoSnIr structure at the PBE level of DFT.

a b c (Å): 8.2414 8.2414 3.1786
angles (deg): 90.00 90.00 120.00
Element x y z (fractional)
Sn (0.3333, 0.6667, 0.0000)
Ho (0.3024, 0.0000, 0.0000)
Ho (0.6976, 0.6976, 0.0000)
Sn (0.6667, 0.3333, 0.0000)
Sn (0.0000, 0.0000, 0.5000)
Ir (0.0000, 0.6408, 0.5000)
Ir (0.3592, 0.3592, 0.5000)
Ho (0.0000, 0.3024, 0.0000)
Ir (0.6408, 0.0000, 0.5000)

Properties
The symmetry is P-62m.

[9]
Computed, not measured: a geometry-optimized HoTmSn2Ir structure at the PBE level of DFT.

a b c (Å): 5.8612 5.8612 10.8597
angles (deg): 113.61 113.61 44.92
Element x y z (fractional)
Sn (0.4672, 0.4672, 0.1161)
Ir (0.7241, 0.7241, 0.3243)
Sn (0.6540, 0.6540, 0.5468)
Tm (0.0030, 0.0030, 0.6720)
Sn (0.5328, 0.5328, 0.8839)
Ir (0.2758, 0.2758, 0.6757)
Ho (0.8139, 0.8139, 0.8708)
Sn (0.3460, 0.3460, 0.4532)
Tm (0.9970, 0.9970, 0.3280)
Ho (0.1861, 0.1861, 0.1292)

Properties
The symmetry is C2/m.

[10]
Computed, not measured: a geometry-optimized HoTmSn2Ir4 structure at the PBE level of DFT.

a b c (Å): 4.4924 4.4924 8.9790
angles (deg): 90.00 90.00 120.00
Element x y z (fractional)
Ir (0.6667, 0.3333, 0.3485)
Ir (0.6667, 0.3333, 0.6515)
Sn (0.3333, 0.6667, 0.7508)
Ho (0.0000, 0.0000, 0.5000)
Sn (0.3333, 0.6667, 0.2492)
Tm (0.6667, 0.3333, 0.0000)
Ir (0.0000, 0.0000, 0.1497)
Ir (0.0000, 0.0000, 0.8503)

Properties
The symmetry is P-6m2.

[11]
Computed, not measured: a geometry-optimized YHoSn2Ir structure at the PBE level of DFT.

a b c (Å): 5.9078 5.9078 10.9506
angles (deg): 113.97 113.97 44.54
Element x y z (fractional)
Y (0.9967, 0.9967, 0.8267)
Ir (0.7219, 0.7219, 0.8236)
Ir (0.2781, 0.2781, 0.1764)
Sn (0.6552, 0.6552, 0.0476)
Ho (0.8144, 0.8144, 0.3707)
Y (0.0033, 0.0033, 0.1733)
Ho (0.1856, 0.1856, 0.6293)
Sn (0.5336, 0.5336, 0.3856)
Sn (0.4664, 0.4664, 0.6144)
Sn (0.3448, 0.3448, 0.9524)

Properties
The symmetry is C2/m.

[12]
Computed, not measured: a geometry-optimized SrHoIr structure at the PBE level of DFT.

a b c (Å): 4.9350 4.9350 4.9350
angles (deg): 60.00 60.00 60.00
Element x y z (fractional)
Ho (0.7500, 0.7500, 0.7500)
Ir (0.0000, 0.0000, 0.0000)
Sr (0.2500, 0.2500, 0.2500)

Properties
The symmetry is F-43m. For the energy above the most stable polymorph in this dataset, the calculation gives 0 meV/atom.

no.,final energy (eV/atom)
1,-7.82
2,-7.99
3,-6.75
4,-5.90
5,-6.71
6,-6.66
7,-6.50
8,-6.05
9,-5.95
10,-7.14
11,-6.37
12,-5.39